Record 1
The following is a DFT calculation (PBE-GGA) of crystalline RbNi2Se at its relaxed geometry.

a = 4.6968 Å, b = 4.6968 Å, c = 4.6968 Å
α = 60.00°, β = 60.00°, γ = 60.00°
With the nearest neighbours (Å) after each atom.
Atoms (fractional coordinates):
Rb: 0.0000 0.0000 0.0000  8 Ni 2.88
Ni: 0.2500 0.2500 0.2500  4 Se 2.88, 4 Rb 2.88
Ni: 0.7500 0.7500 0.7500  4 Rb 2.88, 4 Se 2.88
Se: 0.5000 0.5000 0.5000  8 Ni 2.88

Output
- energy above the most stable polymorph in this dataset (kJ/mol of formula units) = 332
- total DFT energy (no corrections) (eV per atom) = -3.277
- formation energy (no corrections) (kJ per mole of atoms) = 70.1
- M_tot (μB/f.u.) = 1.0

***

Record 2
The following is a DFT calculation (PBE-GGA) of crystalline Rb2SiNiSe4 at its relaxed geometry.

a = 13.9740 Å, b = 12.5803 Å, c = 7.5014 Å
α = 84.14°, β = 63.58°, γ = 32.28°
With the nearest neighbours (Å) after each atom.
Atoms (fractional coordinates):
Rb: 0.0554 0.0554 0.6946  8 Se 3.65-3.89
Rb: 0.3054 0.3054 0.9446  8 Se 3.65-3.89
Rb: 0.6946 0.6946 0.0554  8 Se 3.65-3.89
Rb: 0.9446 0.9446 0.3054  8 Se 3.65-3.89
Si: 0.3750 0.3750 0.3750  4 Se 2.29
Si: 0.6250 0.6250 0.6250  4 Se 2.29
Ni: 0.1250 0.1250 0.1250  4 Se 2.41
Ni: 0.8750 0.8750 0.8750  4 Se 2.41
Se: 0.0029 0.3492 0.4302  1 Si 2.29, 1 Ni 2.41
Se: 0.2823 0.5698 0.6508  1 Si 2.29, 1 Ni 2.41
Se: 0.3492 0.0029 0.7177  1 Si 2.29, 1 Ni 2.41
Se: 0.4302 0.7177 0.0029  1 Si 2.29, 1 Ni 2.41
Se: 0.5698 0.2823 0.9971  1 Si 2.29, 1 Ni 2.41
Se: 0.6508 0.9971 0.2823  1 Si 2.29, 1 Ni 2.41
Se: 0.7177 0.4302 0.3492  1 Si 2.29, 1 Ni 2.41
Se: 0.9971 0.6508 0.5698  1 Si 2.29, 1 Ni 2.41

Output
- total DFT energy (no corrections) (eV per atom) = -4.102
- formation energy (no corrections) (kJ per mole of atoms) = -69.2
- M_tot (μB/f.u.) = 2.0

***

Record 3
The following is a DFT calculation (PBE-GGA) of crystalline Rb2TaNiSe4 at its relaxed geometry.

a = 14.3353 Å, b = 12.7274 Å, c = 7.7458 Å
α = 85.20°, β = 62.22°, γ = 32.58°
With the nearest neighbours (Å) after each atom.
Atoms (fractional coordinates):
Rb: 0.0532 0.0532 0.6968  8 Se 3.62-3.82
Rb: 0.3032 0.3032 0.9468  8 Se 3.62-3.82
Rb: 0.6968 0.6968 0.0532  8 Se 3.62-3.82
Rb: 0.9468 0.9468 0.3032  8 Se 3.62-3.82
Ta: 0.3750 0.3750 0.3750  4 Se 2.43
Ta: 0.6250 0.6250 0.6250  4 Se 2.43
Ni: 0.1250 0.1250 0.1250  4 Se 2.41
Ni: 0.8750 0.8750 0.8750  4 Se 2.41
Se: 0.0313 0.3275 0.4140  1 Ni 2.41, 1 Ta 2.43
Se: 0.2728 0.5860 0.6725  1 Ni 2.41, 1 Ta 2.43
Se: 0.3275 0.0313 0.7272  1 Ni 2.41, 1 Ta 2.43
Se: 0.4140 0.7272 0.0313  1 Ni 2.41, 1 Ta 2.43
Se: 0.5860 0.2728 0.9687  1 Ni 2.41, 1 Ta 2.43
Se: 0.6725 0.9687 0.2728  1 Ni 2.41, 1 Ta 2.43
Se: 0.7272 0.4140 0.3275  1 Ni 2.41, 1 Ta 2.43
Se: 0.9687 0.6725 0.5860  1 Ni 2.41, 1 Ta 2.43

Output
- total DFT energy (no corrections) (eV per atom) = -5.107
- formation energy (no corrections) (kJ per mole of atoms) = -88.6
- M_tot (μB/f.u.) = 1.0